Entry 1:
Computed, not measured: an optimized crystal structure of Ac2SmGe2 at the PBE-GGA level of DFT.

Unit cell a=8.0619 b=8.0619 c=4.7200 alpha=90.00 beta=90.00 gamma=90.00
Closest atoms and distances in Å follow each position.
Space group P4/mbm (No. 127)
Asymmetric unit:
1 Ac 0.1760 0.3240 0.0000 x4  6 Ge 3.32-3.38
2 Sm 0.0000 0.0000 0.5000 x2  4 Ge 3.22
3 Ge 0.1194 0.6194 0.5000 x4  1 Ge 2.72

Values from the calculation:
- Excess energy over the best structure of this formula in the dataset: 0 meV/atom
- DFT formation energy: -65 kJ per mole of atoms

Entry 2:
Computed, not measured: an optimized crystal structure of AcNd6DyEr2 at the PBE-GGA level of DFT.

Unit cell a=9.4289 b=15.4415 c=9.7487 alpha=90.00 beta=95.80 gamma=90.00
Closest atoms and distances in Å follow each position.
Space group C2/c (No. 15)
Asymmetric unit:
1 Ac 0.0000 0.0296 0.2500 x4  4 Er 3.53-3.62, 6 Nd 3.71-3.88
2 Nd 0.0623 0.1826 0.9460 x8  7 Nd 3.50-3.88, 1 Er 3.63, 2 Ac 3.81-3.88
3 Nd 0.0983 0.3897 0.1178 x8  4 Nd 3.31-3.61, 3 Er 3.32-3.51, 2 Dy 3.48-3.63
4 Nd 0.2203 0.2270 0.3171 x8  3 Nd 3.31-3.62, 2 Er 3.50-3.63, 1 Dy 3.52
5 Dy 0.0000 0.4124 0.7500 x4  6 Nd 3.48-3.63, 2 Er 3.59
6 Er 0.2411 0.4465 0.4518 x8  6 Nd 3.32-3.63, 2 Ac 3.53-3.62, 1 Dy 3.59

Values from the calculation:
- DFT formation energy: 12 kJ per mole of atoms

Calculated size of the total moment (μB per formula unit), listed in the same order as above: 0.00, 0.00
Calculated final energy (eV per atom), listed in the same order as above: -5.11, -4.52